Record 1
{"formula": "Tb8Cu2Hg", "functional": "PBE", "state": "optimized geometry", "lattice": [[-1.8914, 4.5998, 8.9871], [1.8914, -4.5998, 8.9871], [1.8914, 4.5998, -8.9871]], "species": ["Tb", "Tb", "Tb", "Tb", "Tb", "Tb", "Tb", "Tb", "Cu", "Cu", "Hg"], "fractional_positions": [[0.1378, 0.1378, 0.0000], [0.1411, 0.3302, 0.8109], [0.2911, 0.0000, 0.2911], [0.4808, 0.6698, 0.8109], [0.5192, 0.3302, 0.1891], [0.7089, 0.0000, 0.7089], [0.8589, 0.6698, 0.1891], [0.8622, 0.8622, 0.0000], [0.2574, 0.7574, 0.5000], [0.7426, 0.2426, 0.5000], [0.0000, 0.5000, 0.5000]], "crystal_system": "orthorhombic", "spacegroup": "Immm, No. 71", "dos_ef_per_ev_cell": 15.90, "magnetic_moment_mub_per_cell": 0.00}

---

Record 2
{"formula": "TlCoIr", "functional": "PBE", "state": "optimized geometry", "lattice": [[-1.4611, 1.4611, 5.7234], [1.4611, -1.4611, 5.7234], [1.4611, 1.4611, -5.7234]], "species": ["Tl", "Co", "Ir"], "fractional_positions": [[0.0000, 0.0000, 0.0000], [0.6784, 0.6784, 0.0000], [0.3099, 0.3099, 0.0000]], "crystal_system": "tetragonal", "spacegroup": "I4mm, No. 107", "dos_ef_per_ev_cell": 3.26, "magnetic_moment_mub_per_cell": 2.05}

---

Number 1: energy above the lowest structure with this stoichiometry 0.097 eV per atom. Number 2: energy above the lowest structure with this stoichiometry 0.000 eV per atom.